First-principles (PBE) data for crystalline CsRb2GaAu at its relaxed geometry, as listed in Alexandria via LeMat-Bulk.

Values from the calculation:
ΔE_f: -50 meV/atom
ΔE to the lowest computed polymorph: 0 meV per atom

Unit cell a=7.000 b=7.000 c=5.005 alpha=90.00 beta=90.00 gamma=90.00
Fractional positions:
Au (0.000, 0.000, 0.000)
Cs (0.500, 0.500, 0.500)
Rb (0.500, 0.000, 0.000)
Ga (0.000, 0.000, 0.500)
Rb (0.000, 0.500, 0.000)